CsTmSe2: relaxed, PBE.

The structure in POSCAR format:
```
CsTmSe2
1.0
4.198 0.000 0.000
-2.099 3.636 0.002
0.000 -0.004 8.513
Se Tm Cs
2 1 1
Cartesian
1.050 3.027 6.964
1.050 0.605 1.551
-1.050 1.818 0.001
-1.050 1.816 4.258
```

magnetic moment	0.00	μB per formula unit
calculated volume	130	Å³/cell
space group	P-3m1
E_form (uncorrected)	-6.730	eV/f.u.